The following is a GGA-PBE calculation of an optimized crystal structure of HgPb3F8, from Alexandria via LeMat-Bulk.

It has space group Pm-3m (No. 221), with a = 5.900 Å, b = 5.900 Å, c = 5.900 Å, α = 90.00°, β = 90.00° and γ = 90.00°. The asymmetric unit holds Hg at (0.000, 0.000, 0.000), Pb at (0.000, 0.500, 0.500) and F at (0.244, 0.244, 0.244).

The uncorrected energy is -4.359 eV per atom. As for the crystal system: cubic. The value obtained for the density of states at the Fermi level is 0.00 states/eV per cell. The calculation puts the calculated density at 7.88 Mg/m³. The value obtained for the formation energy from raw total energies is -2500 kJ/mol of formula units.



The following is a GGA-PBE calculation of an optimized crystal structure of Dy2MnGa4Ni3, from Alexandria via LeMat-Bulk.

It has space group P-4m2 (No. 115), with a = 3.959 Å, b = 3.959 Å, c = 10.635 Å, α = 90.00°, β = 90.00° and γ = 90.00°. The asymmetric unit holds Dy at (0.000, 0.500, 0.243), Mn at (0.000, 0.000, 0.500), Ga at (0.000, 0.000, 0.000), Ga at (0.000, 0.500, 0.641), Ga at (0.500, 0.500, 0.000), Ni at (0.000, 0.500, 0.865) and Ni at (0.500, 0.500, 0.500).

The uncorrected energy is -5.284 eV per atom. As for the crystal system: tetragonal. The value obtained for the density of states at the Fermi level is 5.62 states/eV per cell. The energy of formation from the pure elements comes out at -0.50 eV per atom. The calculation puts the calculated density at 8.32 Mg/m³.



The following is a GGA-PBE calculation of an optimized crystal structure of MnBeAsBr2, from Alexandria via LeMat-Bulk.

It has space group P4/mmm (No. 123), with a = 5.058 Å, b = 5.058 Å, c = 4.541 Å, α = 90.00°, β = 90.00° and γ = 90.00°. The asymmetric unit holds Mn at (0.000, 0.000, 0.000), Be at (0.500, 0.500, 0.500), As at (0.000, 0.000, 0.500) and Br at (0.000, 0.500, 0.000).

The uncorrected energy is -3.426 eV per atom. As for the crystal system: tetragonal. The value obtained for the density of states at the Fermi level is 4.22 states/eV per cell. The calculation puts the calculated density at 4.27 Mg/m³. The value obtained for the formation energy from raw total energies is 363 kJ/mol of formula units.



The following is a GGA-PBE calculation of an optimized crystal structure of Nd2HoTl, from Alexandria via LeMat-Bulk.

It has space group R3m (No. 160, hexagonal axes), with a = 3.6972 Å, b = 3.6972 Å, c = 33.1590 Å, α = 90.00°, β = 90.00° and γ = 120.00°. The asymmetric unit holds Nd at (0.0000, 0.0000, 0.0000), Nd at (0.0000, 0.0000, 0.1737), Ho at (0.0000, 0.0000, 0.4203) and Tl at (0.0000, 0.0000, 0.5866).

The uncorrected energy is -4.214 eV per atom. As for the crystal system: trigonal. The value obtained for the density of states at the Fermi level is 17.24 states/eV per cell. The energy of formation from the pure elements comes out at -0.09 eV per atom. The calculation puts the calculated density at 8.35 Mg/m³.



The following is a GGA-PBE calculation of an optimized crystal structure of Th15Tl4Cd, from Alexandria via LeMat-Bulk.

It has space group P4/mmm (No. 123), with a = 4.959 Å, b = 4.959 Å, c = 24.781 Å, α = 90.00°, β = 90.00° and γ = 90.00°. The asymmetric unit holds Th at (0.000, 0.000, 0.000), Th at (0.000, 0.000, 0.199), Th at (0.000, 0.000, 0.400), Th at (0.000, 0.500, 0.099), Th at (0.000, 0.500, 0.300), Th at (0.000, 0.500, 0.500), Tl at (0.500, 0.500, 0.200), Tl at (0.500, 0.500, 0.400) and Cd at (0.500, 0.500, 0.000).

The uncorrected energy is -6.136 eV per atom. As for the crystal system: tetragonal. The value obtained for the density of states at the Fermi level is 24.54 states/eV per cell. The energy of formation from the pure elements comes out at -0.05 eV per atom. The calculation puts the calculated density at 12.02 Mg/m³.



The following is a GGA-PBE calculation of an optimized crystal structure of Tb2PuThAs4, from Alexandria via LeMat-Bulk.

It has space group P2/m (No. 10), with a = 7.223 Å, b = 4.182 Å, c = 7.227 Å, α = 90.00°, β = 109.58° and γ = 90.00°. The asymmetric unit holds Tb at (0.000, 0.000, 0.000), Tb at (0.000, 0.500, 0.500), Pu at (0.500, 0.000, 0.500), Th at (0.500, 0.500, 0.000), As at (0.245, 0.000, 0.746) and As at (0.249, 0.500, 0.253).

The uncorrected energy is -7.593 eV per atom. As for the crystal system: monoclinic. The value obtained for the density of states at the Fermi level is 14.26 states/eV per cell. The energy of formation from the pure elements comes out at -1.39 eV per atom. The calculation puts the calculated density at 8.83 Mg/m³.



The following is a GGA-PBE calculation of an optimized crystal structure of Cs2KCrI6, from Alexandria via LeMat-Bulk.

It has space group Fm-3m (No. 225), with a = 12.288 Å, b = 12.288 Å, c = 12.288 Å, α = 90.00°, β = 90.00° and γ = 90.00°. The asymmetric unit holds Cs at (0.250, 0.250, 0.250), K at (0.000, 0.000, 0.000), Cr at (0.000, 0.000, 0.500) and I at (0.000, 0.000, 0.276).

The uncorrected energy is -3.222 eV per atom. As for the crystal system: cubic. The value obtained for the density of states at the Fermi level is 0.00 states/eV per cell. The calculation puts the calculated density at 4.00 Mg/m³. The value obtained for the formation energy from raw total energies is -1012 kJ/mol of formula units.



The following is a GGA-PBE calculation of an optimized crystal structure of TbHfIr, from Alexandria via LeMat-Bulk.

It has space group F-43m (No. 216), with a = 6.605 Å, b = 6.605 Å, c = 6.605 Å, α = 90.00°, β = 90.00° and γ = 90.00°. The asymmetric unit holds Tb at (0.000, 0.000, 0.000), Hf at (0.000, 0.000, 0.500) and Ir at (0.250, 0.250, 0.750).

The uncorrected energy is -8.348 eV per atom. As for the crystal system: cubic. The value obtained for the density of states at the Fermi level is 10.50 states/eV per cell. The energy of formation from the pure elements comes out at -0.53 eV per atom. The calculation puts the calculated density at 12.21 Mg/m³.



The following is a GGA-PBE calculation of an optimized crystal structure of CuTeAu2, from Alexandria via LeMat-Bulk.

It has space group R-3m (No. 166, hexagonal axes), with a = 3.1016 Å, b = 3.1016 Å, c = 28.2261 Å, α = 90.00°, β = 90.00° and γ = 120.00°. The asymmetric unit holds Cu at (0.0000, 0.0000, 0.0000), Te at (0.0000, 0.0000, 0.5000) and Au at (0.0000, 0.0000, 0.2645).

The uncorrected energy is -3.230 eV per atom. As for the crystal system: trigonal. The value obtained for the density of states at the Fermi level is 5.80 states/eV per cell. The calculation puts the calculated density at 12.39 Mg/m³. The value obtained for the formation energy from raw total energies is 84 kJ/mol of formula units.



The following is a GGA-PBE calculation of an optimized crystal structure of Er4SbPt, from Alexandria via LeMat-Bulk.

It has space group P2_1/m (No. 11), with a = 6.048 Å, b = 6.489 Å, c = 8.706 Å, α = 90.00°, β = 110.36° and γ = 90.00°. The asymmetric unit holds Er at (0.000, 0.000, 0.207), Er at (0.396, 0.250, 0.603), Er at (0.432, 0.250, 0.107), Sb at (0.195, 0.750, 0.543) and Pt at (0.272, 0.750, 0.073).

The uncorrected energy is -5.563 eV per atom. As for the crystal system: monoclinic. The value obtained for the density of states at the Fermi level is 10.96 states/eV per cell. The calculation puts the calculated density at 10.22 Mg/m³. The value obtained for the formation energy from raw total energies is -479 kJ/mol of formula units.



The following is a GGA-PBE calculation of an optimized crystal structure of TaTeI2N, from Alexandria via LeMat-Bulk.

It has space group P4/mmm (No. 123), with a = 4.761 Å, b = 4.761 Å, c = 4.851 Å, α = 90.00°, β = 90.00° and γ = 90.00°. The asymmetric unit holds Ta at (0.000, 0.000, 0.000), Te at (0.500, 0.500, 0.000), I at (0.000, 0.500, 0.500) and N at (0.500, 0.500, 0.500).

The uncorrected energy is -3.818 eV per atom. As for the crystal system: tetragonal. The value obtained for the density of states at the Fermi level is 5.84 states/eV per cell. The calculation puts the calculated density at 8.70 Mg/m³. The value obtained for the formation energy from raw total energies is 707 kJ/mol of formula units.



The following is a GGA-PBE calculation of an optimized crystal structure of Tb5Sm4Sc4, from Alexandria via LeMat-Bulk.

It has space group I4/m (No. 87), with a = 12.575 Å, b = 12.575 Å, c = 4.937 Å, α = 90.00°, β = 90.00° and γ = 90.00°. The asymmetric unit holds Tb at (0.000, 0.000, 0.000), Tb at (0.043, 0.191, 0.500), Sm at (0.079, 0.380, 0.000) and Sc at (0.155, 0.768, 0.000).

The uncorrected energy is -5.135 eV per atom. As for the crystal system: tetragonal. The value obtained for the density of states at the Fermi level is 39.98 states/eV per cell. The energy of formation from the pure elements comes out at 0.05 eV per atom. The calculation puts the calculated density at 6.70 Mg/m³.



The following is a GGA-PBE calculation of an optimized crystal structure of YBiP2, from Alexandria via LeMat-Bulk.

It has space group I-42d (No. 122), with a = 6.312 Å, b = 6.312 Å, c = 13.014 Å, α = 90.00°, β = 90.00° and γ = 90.00°. The asymmetric unit holds Y at (0.000, 0.000, 0.000), Bi at (0.000, 0.000, 0.500) and P at (0.241, 0.250, 0.125).

The uncorrected energy is -5.657 eV per atom. As for the crystal system: tetragonal. The value obtained for the density of states at the Fermi level is 0.06 states/eV per cell. The energy of formation from the pure elements comes out at -0.37 eV per atom. The calculation puts the calculated density at 4.61 Mg/m³.



The following is a GGA-PBE calculation of an optimized crystal structure of CoBAs, from Alexandria via LeMat-Bulk.

It has space group Cmcm (No. 63), with a = 2.663 Å, b = 18.974 Å, c = 2.998 Å, α = 90.00°, β = 90.00° and γ = 90.00°. The asymmetric unit holds Co at (0.000, 0.062, 0.250), B at (0.000, 0.475, 0.250) and As at (0.000, 0.161, 0.750).

The uncorrected energy is -6.221 eV per atom. As for the crystal system: orthorhombic. The value obtained for the density of states at the Fermi level is 5.85 states/eV per cell. The energy of formation from the pure elements comes out at -0.08 eV per atom. The calculation puts the calculated density at 6.34 Mg/m³.



The following is a GGA-PBE calculation of an optimized crystal structure of Al2AsCl, from Alexandria via LeMat-Bulk.

It has space group R3m (No. 160, hexagonal axes), with a = 3.3544 Å, b = 3.3544 Å, c = 27.1071 Å, α = 90.00°, β = 90.00° and γ = 120.00°. The asymmetric unit holds Al at (0.0000, 0.0000, 0.0000), Al at (0.0000, 0.0000, 0.2599), As at (0.0000, 0.0000, 0.7291) and Cl at (0.0000, 0.0000, 0.5339).

The uncorrected energy is -3.760 eV per atom. As for the crystal system: trigonal. The value obtained for the density of states at the Fermi level is 8.68 states/eV per cell. The calculation puts the calculated density at 3.10 Mg/m³. The value obtained for the formation energy from raw total energies is -102 kJ/mol of formula units.



The following is a GGA-PBE calculation of an optimized crystal structure of NaGePb, from Alexandria via LeMat-Bulk.

It has space group C2/m (No. 12), with a = 10.738 Å, b = 5.805 Å, c = 6.662 Å, α = 90.00°, β = 128.14° and γ = 90.00°. The asymmetric unit holds Na at (0.115, 0.000, 0.362), Ge at (0.250, 0.250, 0.000), Pb at (0.000, 0.500, 0.000) and Pb at (0.000, 0.500, 0.500).

The uncorrected energy is -3.236 eV per atom. As for the crystal system: monoclinic. The value obtained for the density of states at the Fermi level is 4.09 states/eV per cell. The energy of formation from the pure elements comes out at -0.02 eV per atom. The calculation puts the calculated density at 6.16 Mg/m³.



The following is a GGA-PBE calculation of an optimized crystal structure of Cs2AgCl, from Alexandria via LeMat-Bulk.

It has space group P4/mmm (No. 123), with a = 4.305 Å, b = 4.305 Å, c = 8.914 Å, α = 90.00°, β = 90.00° and γ = 90.00°. The asymmetric unit holds Cs at (0.000, 0.000, 0.230), Ag at (0.500, 0.500, 0.500) and Cl at (0.500, 0.500, 0.000).

The uncorrected energy is -2.513 eV per atom. As for the crystal system: tetragonal. The calculation puts the calculated density at 4.11 Mg/m³. The value obtained for the formation energy from raw total energies is -352 kJ/mol of formula units.



The following is a GGA-PBE calculation of an optimized crystal structure of CaMg2Re, from Alexandria via LeMat-Bulk.

It has space group Cm (No. 8), with a = 11.026 Å, b = 2.978 Å, c = 5.358 Å, α = 90.00°, β = 107.65° and γ = 90.00°. The asymmetric unit holds Ca at (0.000, 0.000, 0.000), Mg at (0.211, 0.000, 0.632), Mg at (0.444, 0.000, 0.458) and Re at (0.247, 0.500, 0.140).

The uncorrected energy is -3.926 eV per atom. As for the crystal system: monoclinic. The value obtained for the density of states at the Fermi level is 5.26 states/eV per cell. The energy of formation from the pure elements comes out at 0.48 eV per atom. The calculation puts the calculated density at 5.45 Mg/m³.



The following is a GGA-PBE calculation of an optimized crystal structure of K2Sr2UO6, from Alexandria via LeMat-Bulk.

It has space group C2/m (No. 12), with a = 6.383 Å, b = 10.743 Å, c = 6.653 Å, α = 90.00°, β = 107.80° and γ = 90.00°. The asymmetric unit holds K at (0.000, 0.166, 0.000), Sr at (0.000, 0.337, 0.500), U at (0.000, 0.000, 0.500), O at (0.194, 0.147, 0.677) and O at (0.216, 0.000, 0.317).

The uncorrected energy is -6.934 eV per atom. As for the crystal system: monoclinic. The value obtained for the density of states at the Fermi level is 0.00 states/eV per cell. The calculation puts the calculated density at 4.49 Mg/m³. The value obtained for the formation energy from raw total energies is -2863 kJ/mol of formula units.



The following is a GGA-PBE calculation of an optimized crystal structure of Ca2SbRh, from Alexandria via LeMat-Bulk.

It has space group R-3m (No. 166, hexagonal axes), with a = 3.5781 Å, b = 3.5781 Å, c = 27.4044 Å, α = 90.00°, β = 90.00° and γ = 120.00°. The asymmetric unit holds Ca at (0.0000, 0.0000, 0.2375), Sb at (0.0000, 0.0000, 0.0000) and Rh at (0.0000, 0.0000, 0.5000).

The uncorrected energy is -4.227 eV per atom. As for the crystal system: trigonal. The value obtained for the density of states at the Fermi level is 5.37 states/eV per cell. The calculation puts the calculated density at 5.00 Mg/m³. The value obtained for the formation energy from raw total energies is -138 kJ/mol of formula units.